[1]
# Sr3RuF

A relaxed structure of Sr3RuF (GGA-PBE, the Alexandria database).

```
Sr3RuF
1.0
5.083 0.000 0.000
0.000 5.083 0.000
0.000 0.000 5.083
F Sr Ru
1 3 1
direct
0.000 0.000 0.000
0.000 0.000 0.500
0.500 0.000 0.000
0.000 0.500 0.000
0.500 0.500 0.500
```

Output
ΔE_f (raw) in eV per atom: -0.6877
Uncorrected energy in eV/atom: -3.926
E above lowest polymorph in meV per atom: 0

[2]
# Na3CdGa

A relaxed structure of Na3CdGa (GGA-PBE, the Alexandria database).

```
Na3CdGa
1.0
8.895 0.085 -0.727
-2.352 8.579 0.727
-4.049 -3.745 3.827
Cd Ga Na
2 2 6
direct
0.750 0.869 0.619
0.250 0.131 0.381
0.322 0.835 0.157
0.678 0.165 0.843
0.821 0.586 0.883
0.297 0.062 0.883
0.703 0.938 0.117
0.785 0.537 0.323
0.179 0.414 0.117
0.215 0.463 0.677
```

Output
DFT formation energy in eV per formula unit: -0.11
Uncorrected energy in eV/atom: -1.602
E above lowest polymorph in meV per atom: 28

[3]
# KRb2Cd3Hg12

A relaxed structure of KRb2Cd3Hg12 (GGA-PBE, the Alexandria database).

```
KRb2Cd3Hg12
1.0
9.906 -0.227 -0.161
4.694 8.726 -0.161
4.694 2.733 8.289
Cd Rb K Hg
3 2 1 12
direct
0.500 0.000 0.000
0.000 0.000 0.500
0.000 0.500 0.000
0.414 0.414 0.414
0.586 0.586 0.586
0.000 0.000 0.000
0.180 0.180 0.496
0.496 0.180 0.180
0.180 0.496 0.180
0.820 0.504 0.820
0.310 0.310 0.846
0.690 0.690 0.154
0.846 0.310 0.310
0.310 0.846 0.310
0.820 0.820 0.504
0.690 0.154 0.690
0.504 0.820 0.820
0.154 0.690 0.690
```

Output
DFT formation energy in eV per formula unit: -0.54
Uncorrected energy in eV/atom: -0.552

[4]
# Cr2Si2Te

A relaxed structure of Cr2Si2Te (GGA-PBE, the Alexandria database).

```
Cr2Si2Te
1.0
-0.632 -2.026 -2.674
3.092 -1.408 0.336
-1.193 -6.109 2.730
Si Cr Te
2 2 1
direct
0.250 0.750 0.500
0.750 0.250 0.500
0.388 0.388 0.225
0.612 0.612 0.775
0.000 0.000 0.000
```

Output
ΔE_f (raw) in eV per atom: 0.0146
Uncorrected energy in eV/atom: -6.632

[5]
# Zr2Ti3In3

A relaxed structure of Zr2Ti3In3 (GGA-PBE, the Alexandria database).

```
Zr2Ti3In3
1.0
4.219 0.000 -0.886
-0.196 4.109 -0.936
-0.230 -0.036 9.399
In Zr Ti
3 2 3
direct
0.623 0.623 0.247
0.500 0.000 0.000
0.377 0.377 0.753
0.246 0.746 0.492
0.754 0.254 0.508
0.883 0.883 0.765
0.117 0.117 0.235
0.000 0.500 0.000
```

Output
DFT formation energy in eV per formula unit: -1.24
Uncorrected energy in eV/atom: -6.280

[6]
# Nb3HgBi

A relaxed structure of Nb3HgBi (GGA-PBE, the Alexandria database).

```
Nb3HgBi
1.0
5.164 0.000 0.000
0.000 5.164 0.000
0.000 0.000 5.164
Hg Nb Bi
1 3 1
direct
0.500 0.500 0.500
0.500 0.000 0.000
0.000 0.000 0.500
0.000 0.500 0.000
0.000 0.000 0.000
```

Output
DFT formation energy in eV per formula unit: 9.07
Uncorrected energy in eV/atom: -5.064
E above lowest polymorph in meV per atom: 181